Density functional theory data (PBE) for a relaxed HfCd3Pt4 crystal.

```
HfCd3Pt4
1.0
-1.7971 -2.5021 -1.5892
1.5810 -2.3811 1.9612
-8.6012 1.0015 8.1497
Hf Pt Cd
1 4 3
Direct
0.5000 0.5000 0.0000
0.0000 0.0000 0.8795
0.0000 0.0000 0.1205
0.0000 0.0000 0.3748
0.0000 0.0000 0.6252
0.5000 0.5000 0.2545
0.5000 0.5000 0.5000
0.5000 0.5000 0.7455
```

E_form (kJ/mol of formula units): -429
Space-group type: P4/mmm (123)
E_tot (eV/atom): -5.16
Total magnetic moment (μB per cell): 0.00
Crystal system: tetragonal